## FeIr2Se (PBE)

Data for a relaxed FeIr2Se crystal.

Results
E_tot = -6.93 eV/atom
formation energy without anion corrections = 486 meV/atom

Lattice parameters (Å, degrees): 6.194 6.194 6.194 90.00 90.00 90.00
Fractional positions:
Fe: 0.000 0.000 0.000
Fe: 0.000 0.500 0.500
Fe: 0.500 0.000 0.500
Fe: 0.500 0.500 0.000
Ir: 0.000 0.000 0.500
Ir: 0.000 0.500 0.000
Ir: 0.250 0.250 0.250
Ir: 0.250 0.750 0.750
Ir: 0.500 0.000 0.000
Ir: 0.500 0.500 0.500
Ir: 0.750 0.250 0.750
Ir: 0.750 0.750 0.250
Se: 0.250 0.250 0.750
Se: 0.250 0.750 0.250
Se: 0.750 0.250 0.250
Se: 0.750 0.750 0.750